The following is a meta-GGA SCAN calculation of a crystal of Er2ZnCu relaxed with PBEsol, from Alexandria via LeMat-Bulk.

Geometry as extended XYZ:
```
4
Lattice="4.8405 0.0000 0.0000 2.4203 4.1920 0.0000 2.4203 1.3973 3.9523" Properties=species:S:1:pos:R:3 pbc="T T T"
Er 7.2608 4.1920 2.9642
Er 2.4203 1.3973 0.9881
Zn 0.0000 0.0000 0.0000
Cu 4.8405 2.7947 1.9761
```

Output
Calculated formation energy = -377 meV per atom
N(E_F) = 0.575 states/eV/atom
Space-group type = Fm-3m
Energy = -32.726 eV per atom